Record 1
# Sr2Pb2Au

A relaxed structure of Sr2Pb2Au (PBE, Alexandria).

```
10
Lattice="8.7400 0.0000 0.0000 0.0000 8.7400 0.0000 0.0000 0.0000 4.8249" Properties=species:S:1:pos:R:3 pbc="T T T"
Sr 1.5845 2.7855 0.0000
Sr 2.7855 7.1555 0.0000
Sr 5.9545 1.5845 0.0000
Sr 7.1555 5.9545 0.0000
Pb 1.0306 5.4006 2.4125
Pb 3.3394 1.0306 2.4125
Pb 5.4006 7.7094 2.4125
Pb 7.7094 3.3394 2.4125
Au 0.0000 0.0000 0.0000
Au 4.3700 4.3700 0.0000
```

formation energy from the elements: -0.327 eV per atom
E_tot: -3.139 eV/atom
symmetry: P4/mbm, No. 127
crystal system: tetragonal
energy relative to the lowest polymorph listed for this composition: 249.4 meV/atom

=====

Record 2
# Sr2Pb2Au

A relaxed structure of Sr2Pb2Au (PBE, Alexandria).

```
5
Lattice="-3.3041 3.3041 4.3441 3.3041 -3.3041 4.3441 3.3041 3.3041 -4.3441" Properties=species:S:1:pos:R:3 pbc="T T T"
Sr 3.3041 0.0000 2.1721
Sr 0.0000 3.3041 2.1721
Pb 0.0000 0.0000 1.4992
Pb 0.0000 0.0000 7.1890
Au 0.0000 0.0000 4.3441
```

formation energy from the elements: -0.188 eV per atom
E_tot: -3.000 eV/atom
symmetry: I4/mmm, No. 139
crystal system: tetragonal
energy relative to the lowest polymorph listed for this composition: 388.5 meV/atom

=====

Record 3
# Sr5Pb4Au

A relaxed structure of Sr5Pb4Au (PBE, Alexandria).

```
10
Lattice="3.8258 0.0000 0.0000 0.0000 3.8258 0.0000 0.0000 0.0000 22.6649" Properties=species:S:1:pos:R:3 pbc="T T T"
Sr 0.0000 0.0000 0.0000
Sr 0.0000 0.0000 4.7489
Sr 0.0000 0.0000 9.4055
Sr 0.0000 0.0000 13.2594
Sr 0.0000 0.0000 17.9160
Pb 1.9129 1.9129 2.3661
Pb 1.9129 1.9129 7.0976
Pb 1.9129 1.9129 15.5673
Pb 1.9129 1.9129 20.2988
Au 1.9129 1.9129 11.3325
```

formation energy from the elements: -0.578 eV per atom
E_tot: -3.230 eV/atom
symmetry: P4/mmm, No. 123
crystal system: tetragonal